GGA-PBE Tc2PbW, optimized geometry; formation energy = 782 meV per atom; volume = 69 Å³/cell
1.0
-1.422 1.738 -2.315
-4.131 -2.556 0.619
-1.331 2.871 2.972
Tc Pb W
2 1 1
direct
0.000 0.000 0.000
0.500 0.500 0.000
0.000 0.500 0.500
0.500 0.000 0.500

=====

GGA-PBE KAl2Co, optimized geometry; relative energy among the computed polymorphs = 261 meV per atom; formation energy = 286 meV per atom; volume = 239 Å³/cell
1.0
6.018 0.000 0.000
0.000 6.018 0.000
3.009 3.009 6.601
Al Co K
4 2 2
direct
0.875 0.125 0.750
0.375 0.125 0.750
0.875 0.625 0.250
0.875 0.125 0.250
0.000 0.000 0.000
0.750 0.250 0.500
0.250 0.750 0.500
0.500 0.500 0.000

=====

GGA-PBE Th2AlNi12B3, optimized geometry; formation energy = -178 meV per atom; volume = 241 Å³/cell
1.0
6.694 -0.334 -0.237
3.016 5.986 -0.237
3.016 1.755 5.727
Ni Al B Th
12 1 3 2
direct
0.869 0.869 0.395
0.131 0.605 0.131
0.719 0.117 0.719
0.395 0.869 0.869
0.719 0.719 0.117
0.869 0.395 0.869
0.281 0.281 0.883
0.117 0.719 0.719
0.281 0.883 0.281
0.883 0.281 0.281
0.605 0.131 0.131
0.131 0.131 0.605
0.000 0.000 0.000
0.000 0.500 0.000
0.000 0.000 0.500
0.500 0.000 0.000
0.606 0.606 0.606
0.394 0.394 0.394

=====

GGA-PBE AlSi2Os, optimized geometry; electronic total energy = -6.540 eV/atom; volume = 55 Å³/cell
1.0
-1.539 -0.621 -4.195
-2.407 -2.897 -2.483
-3.860 1.986 0.682
Si Al Os
2 1 1
direct
0.987 0.987 0.015
0.749 0.749 0.757
0.509 0.509 0.500
0.255 0.255 0.228

=====

GGA-PBE SmInP2Rh5, optimized geometry; formation energy = -637 meV per atom; volume = 168 Å³/cell
1.0
4.063 0.000 0.000
0.000 4.063 0.000
0.000 0.000 10.178
P Rh In Sm
2 5 1 1
direct
0.500 0.500 0.722
0.500 0.500 0.278
0.000 0.500 0.819
0.000 0.500 0.181
0.500 0.000 0.819
0.500 0.000 0.181
0.500 0.500 0.500
0.000 0.000 0.000
0.000 0.000 0.500

=====

GGA-PBE SnH22Cl6O10, optimized geometry; electronic total energy = -4.573 eV/atom; volume = 948 Å³/cell
1.0
-6.383 -1.000 3.446
4.457 -2.168 7.625
-0.383 13.858 3.311
H O Cl Sn
44 20 12 2
direct
0.035 0.933 0.622
0.503 0.776 0.816
0.996 0.116 0.642
0.269 0.147 0.286
0.497 0.224 0.184
0.891 0.730 0.589
0.205 0.733 0.364
0.003 0.724 0.684
0.886 0.278 0.738
0.004 0.884 0.358
0.504 0.616 0.142
0.614 0.778 0.238
0.795 0.267 0.636
0.997 0.484 0.809
0.997 0.276 0.316
0.705 0.767 0.136
0.283 0.550 0.132
0.295 0.233 0.864
0.981 0.361 0.886
0.731 0.853 0.714
0.497 0.016 0.691
0.311 0.039 0.199
0.109 0.270 0.411
0.114 0.722 0.262
0.717 0.450 0.868
0.189 0.539 0.699
0.965 0.067 0.378
0.391 0.770 0.911
0.019 0.639 0.114
0.769 0.353 0.214
0.689 0.961 0.801
0.465 0.433 0.122
0.481 0.139 0.614
0.503 0.984 0.309
0.386 0.222 0.762
0.535 0.567 0.878
0.217 0.050 0.632
0.609 0.230 0.089
0.783 0.950 0.368
0.496 0.384 0.858
0.811 0.461 0.301
0.231 0.647 0.786
0.003 0.516 0.191
0.519 0.861 0.386
0.929 0.790 0.645
0.370 0.102 0.248
0.586 0.464 0.891
0.071 0.210 0.355
0.915 0.405 0.834
0.359 0.290 0.818
0.641 0.710 0.182
0.914 0.964 0.391
0.130 0.602 0.748
0.870 0.398 0.252
0.859 0.210 0.682
0.571 0.290 0.145
0.141 0.790 0.318
0.414 0.536 0.109
0.630 0.898 0.752
0.086 0.036 0.609
0.585 0.905 0.334
0.085 0.595 0.166
0.415 0.095 0.666
0.429 0.710 0.855
0.903 0.024 0.163
0.199 0.405 0.550
0.881 0.742 0.991
0.097 0.976 0.837
0.119 0.258 0.009
0.699 0.095 0.950
0.381 0.758 0.509
0.597 0.524 0.663
0.619 0.242 0.491
0.301 0.905 0.050
0.801 0.595 0.450
0.403 0.476 0.337
0.000 0.000 0.000
0.500 0.500 0.500

=====

GGA-PBE ScZnP2O, optimized geometry; relative energy among the computed polymorphs = 0 meV per atom; volume = 103 Å³/cell
1.0
5.186 0.000 0.000
0.000 5.186 0.000
0.000 0.000 3.812
Sc O P Zn
1 1 2 1
direct
0.000 0.000 0.000
0.000 0.000 0.500
0.000 0.500 0.000
0.500 0.000 0.000
0.500 0.500 0.500

=====

GGA-PBE Ac4MgHg, optimized geometry; formation energy = 64 meV per atom; volume = 253 Å³/cell
1.0
-0.384 5.299 1.804
-5.433 0.083 -1.398
-1.931 -2.642 7.348
Ac Mg Hg
4 1 1
direct
0.001 0.497 0.742
0.501 0.997 0.742
0.501 0.997 0.255
0.001 0.497 0.255
0.501 0.497 0.998
0.001 0.997 0.498

=====

GGA-PBE Pr3Ni2Ir4, optimized geometry; formation energy = -428 meV per atom; volume = 382 Å³/cell
1.0
-3.458 -1.830 -1.695
3.819 -0.579 -1.805
3.581 -19.620 13.872
Pr Ir Ni
6 8 4
direct
0.333 0.667 0.753
0.333 0.667 0.917
0.333 0.667 0.247
0.333 0.667 0.086
0.333 0.667 0.417
0.333 0.667 0.580
0.667 0.333 0.667
0.000 0.000 0.330
0.667 0.333 0.498
0.667 0.333 0.330
0.000 0.000 0.667
0.000 0.000 0.003
0.667 0.333 0.003
0.667 0.333 0.835
0.667 0.333 0.166
0.000 0.000 0.166
0.000 0.000 0.835
0.000 0.000 0.498

=====

GGA-PBE NpSbS4, optimized geometry; relative energy among the computed polymorphs = 0 meV per atom; volume = 177 Å³/cell
1.0
3.857 -0.001 0.901
-0.604 6.323 2.590
0.259 0.695 7.603
S Sb Np
4 1 1
direct
0.891 0.575 0.217
0.607 0.951 0.787
0.109 0.425 0.783
0.393 0.049 0.213
0.500 0.500 0.000
0.000 0.000 0.000

=====

GGA-PBE CdPbSe2, optimized geometry; electronic total energy = -3.093 eV/atom; volume = 102 Å³/cell
1.0
5.283 0.005 -0.100
-0.030 5.283 -0.100
0.633 0.638 3.633
Se Cd Pb
2 1 1
direct
0.500 0.500 0.000
0.000 0.000 0.000
0.500 0.000 0.500
0.000 0.500 0.500

=====

GGA-PBE La4Pm5Sm3, optimized geometry; relative energy among the computed polymorphs = 0 meV per atom; formation energy = 18 meV per atom; volume = 422 Å³/cell
1.0
-6.764 -2.356 1.660
8.915 -3.640 -1.344
-7.202 4.746 10.111
Sm Pm La
3 5 4
direct
0.746 0.498 0.500
0.000 0.000 0.500
0.254 0.502 0.500
0.500 0.000 0.500
0.665 0.335 0.169
0.335 0.665 0.831
0.415 0.836 0.169
0.585 0.164 0.831
0.166 0.335 0.168
0.082 0.165 0.831
0.918 0.835 0.169
0.834 0.665 0.832

=====

GGA-PBE NaInTe4Pb2, optimized geometry; electronic total energy = -3.433 eV/atom; volume = 522 Å³/cell
1.0
9.019 0.066 0.057
0.060 9.019 0.057
-4.556 -4.559 6.364
Na Te Pb In
2 8 4 2
direct
0.000 0.500 0.500
0.000 0.500 0.000
0.236 0.756 0.996
0.764 0.244 0.004
0.247 0.253 0.488
0.744 0.264 0.504
0.247 0.253 0.012
0.753 0.747 0.988
0.256 0.736 0.496
0.753 0.747 0.512
0.500 0.000 0.000
0.500 0.500 0.000
0.000 0.000 0.500
0.500 0.000 0.500
0.000 0.000 0.000
0.500 0.500 0.500

=====

GGA-PBE BaLaB12, optimized geometry; relative energy among the computed polymorphs = 5 meV per atom; formation energy = -487 meV per atom; volume = 149 Å³/cell
1.0
5.159 0.000 2.978
1.720 4.864 2.978
0.000 0.000 5.957
B La Ba
12 1 1
direct
0.101 0.101 0.399
0.399 0.399 0.101
0.899 0.601 0.899
0.101 0.399 0.101
0.899 0.899 0.601
0.399 0.101 0.101
0.601 0.899 0.601
0.899 0.601 0.601
0.399 0.101 0.399
0.601 0.899 0.899
0.601 0.601 0.899
0.101 0.399 0.399
0.500 0.500 0.500
0.000 0.000 0.000

=====

GGA-PBE LaPaPb, optimized geometry; relative energy among the computed polymorphs = 0 meV per atom; formation energy = 6 meV per atom; volume = 186 Å³/cell
1.0
6.013 0.000 0.000
0.000 3.394 0.000
0.000 1.697 9.099
Pb La Pa
2 2 2
direct
0.250 0.158 0.684
0.750 0.842 0.316
0.250 0.343 0.314
0.750 0.657 0.686
0.500 0.000 0.000
0.000 0.000 0.000

=====

GGA-PBE CsMnPbSe3, optimized geometry; electronic total energy = -4.645 eV/atom; volume = 428 Å³/cell
1.0
4.307 0.000 0.000
0.000 10.302 0.051
0.000 -2.663 9.635
Cs Se Pb Mn
2 6 2 2
direct
0.250 0.186 0.209
0.750 0.814 0.791
0.250 0.553 0.838
0.250 0.120 0.825
0.750 0.161 0.539
0.250 0.839 0.461
0.750 0.447 0.162
0.750 0.880 0.175
0.250 0.637 0.136
0.750 0.363 0.864
0.250 0.070 0.586
0.750 0.930 0.414

=====

GGA-PBE Hf2VMo, optimized geometry; relative energy among the computed polymorphs = 21 meV per atom; formation energy = 52 meV per atom; volume = 73 Å³/cell
1.0
3.361 0.000 0.000
0.000 4.675 0.000
0.000 0.000 4.675
V Mo Hf
1 1 2
direct
0.500 0.500 0.500
0.500 0.000 0.000
0.000 0.000 0.500
0.000 0.500 0.000

=====

GGA-PBE ErLu2Rh, optimized geometry; relative energy among the computed polymorphs = 298 meV per atom; formation energy = -171 meV per atom; volume = 111 Å³/cell
1.0
3.502 0.000 0.000
1.751 3.033 0.000
1.751 1.011 10.415
Lu Rh Er
2 1 1
direct
0.891 0.891 0.326
0.109 0.109 0.674
0.500 0.500 0.500
0.000 0.000 0.000

=====

GGA-PBE LaZnW2, optimized geometry; formation energy = 608 meV per atom; volume = 82 Å³/cell
1.0
-1.404 -2.648 -1.702
2.604 -2.024 1.001
-3.539 -1.758 5.652
W Zn La
2 1 1
direct
0.000 0.000 0.079
0.000 0.000 0.421
0.500 0.500 0.250
0.500 0.500 0.750

=====

GGA-PBE MnSnTeP2, optimized geometry; electronic total energy = -5.174 eV/atom; volume = 104 Å³/cell
1.0
4.306 0.000 0.000
0.000 5.625 0.000
0.000 0.000 4.306
P Te Sn Mn
2 1 1 1
direct
0.500 0.000 0.000
0.000 0.000 0.500
0.000 0.500 0.000
0.500 0.500 0.500
0.000 0.000 0.000

=====

GGA-PBE GeSeOF2, optimized geometry; relative energy among the computed polymorphs = 336 meV per atom; volume = 80 Å³/cell
1.0
-2.882 2.833 2.189
-2.130 -3.615 1.876
2.371 0.133 2.948
F Ge Se O
2 1 1 1
direct
0.500 0.000 0.000
0.000 0.500 0.000
0.500 0.500 0.500
0.000 0.000 0.000
0.000 0.000 0.500